[1]
First-principles (PBE-GGA) data for a relaxed structure of ZrMn2Cu, as listed in the Alexandria database.

Output
spin magnetization	0.70	μB per cell
total DFT energy (no corrections)	-7.7192	eV per atom

Cell: 3.0214 3.0373 6.5495 Å, 90.00 90.00 90.00°
Space group Pmm2 (No. 25)
Asymmetric unit:
Zr1 0.0000 0.0000 0.0000 [1 per cell]
Mn1 0.0000 0.0000 0.4887 [1 per cell]
Mn2 0.5000 0.5000 0.2957 [1 per cell]
Cu1 0.5000 0.5000 0.7068 [1 per cell]


[2]
First-principles (PBE-GGA) data for a relaxed structure of K2SiRh, as listed in the Alexandria database.

Output
spin magnetization	0.00	μB per cell
energy relative to the elements, uncorrected	11	meV per atom
total DFT energy (no corrections)	-3.7311	eV per atom

Cell: 3.7528 5.6968 11.0494 Å, 90.00 90.00 90.00°
Space group Imm2 (No. 44)
Asymmetric unit:
K1 0.0000 0.0000 0.0000 [2 per cell]
K2 0.0000 0.5000 0.1922 [2 per cell]
Si1 0.0000 0.0000 0.4098 [2 per cell]
Rh1 0.0000 0.5000 0.7981 [2 per cell]


[3]
First-principles (PBE-GGA) data for a relaxed structure of Tl2InSb2, as listed in the Alexandria database.

Output
spin magnetization	0.00	μB per cell
energy above the lowest structure with this stoichiometry	70	meV/atom
energy relative to the elements, uncorrected	110	meV per atom
total DFT energy (no corrections)	-3.0331	eV per atom

Cell: 4.4163 4.4163 16.8505 Å, 90.00 90.00 90.00°
Space group I4/mmm (No. 139)
Asymmetric unit:
Tl1 0.0000 0.0000 0.1013 [4 per cell]
In1 0.0000 0.0000 0.5000 [2 per cell]
Sb1 0.0000 0.5000 0.2500 [4 per cell]


[4]
First-principles (PBE-GGA) data for a relaxed structure of YNbCr, as listed in the Alexandria database.

Output
spin magnetization	3.29	μB per cell
energy above the lowest structure with this stoichiometry	78	meV/atom
total DFT energy (no corrections)	-8.3813	eV per atom

Cell: 11.4355 3.3140 8.3100 Å, 90.00 127.09 90.00°
Space group Cm (No. 8)
Asymmetric unit:
Y1 0.0000 0.0000 0.0000 [2 per cell]
Y2 0.1447 0.0000 0.5485 [2 per cell]
Nb1 0.2092 0.5000 0.9427 [2 per cell]
Nb2 0.2897 0.5000 0.3551 [2 per cell]
Cr1 0.3824 0.0000 0.2178 [2 per cell]
Cr2 0.4618 0.0000 0.6371 [2 per cell]


Which value of spin magnetization does entry 4 give?
3.29 μB per cell


Number 1 is which compound?
ZrMn2Cu